Density functional theory data (PBE) for a geometry-optimized Cs3Cu2PbF9 structure.

Unit cell a=6.258 b=6.258 c=7.724 alpha=90.00 beta=90.00 gamma=120.00
Sites, in units of the cell vectors:
Cs (0.000, 0.000, 0.000)
Cs (0.333, 0.667, 0.677)
Cs (0.667, 0.333, 0.323)
Cu (0.333, 0.667, 0.150)
Cu (0.667, 0.333, 0.850)
Pb (0.000, 0.000, 0.500)
F (0.000, 0.500, 0.000)
F (0.180, 0.361, 0.311)
F (0.180, 0.820, 0.311)
F (0.361, 0.180, 0.689)
F (0.500, 0.000, 0.000)
F (0.500, 0.500, 0.000)
F (0.639, 0.820, 0.311)
F (0.820, 0.180, 0.689)
F (0.820, 0.639, 0.689)

Properties
The symmetry is P-3m1. Its density of states at the Fermi level is 0.17 states/eV/atom. The value obtained for the uncorrected formation energy is -2.19 eV per atom.

=====

Density functional theory data (PBE) for a geometry-optimized Na2Mg3I8 structure.

Unit cell a=8.871 b=8.871 c=7.504 alpha=98.97 beta=98.97 gamma=58.06
Sites, in units of the cell vectors:
Na (0.228, 0.228, 0.105)
Na (0.772, 0.772, 0.895)
Mg (0.247, 0.753, 0.500)
Mg (0.500, 0.500, 0.000)
Mg (0.753, 0.247, 0.500)
I (0.111, 0.111, 0.404)
I (0.152, 0.627, 0.132)
I (0.373, 0.848, 0.868)
I (0.394, 0.394, 0.631)
I (0.606, 0.606, 0.369)
I (0.627, 0.152, 0.132)
I (0.848, 0.373, 0.868)
I (0.889, 0.889, 0.596)

Properties
The symmetry is C2/m. Its density of states at the Fermi level is 0.00 states/eV/atom. The value obtained for the uncorrected formation energy is -1.08 eV per atom.

=====

Density functional theory data (PBE) for a geometry-optimized PrErGa2 structure.

Unit cell a=8.492 b=4.235 c=11.354 alpha=90.00 beta=90.00 gamma=90.00
Sites, in units of the cell vectors:
Pr (0.138, 0.250, 0.139)
Pr (0.362, 0.750, 0.639)
Pr (0.638, 0.250, 0.361)
Pr (0.862, 0.750, 0.861)
Er (0.011, 0.750, 0.383)
Er (0.489, 0.250, 0.883)
Er (0.511, 0.750, 0.117)
Er (0.989, 0.250, 0.617)
Ga (0.143, 0.250, 0.840)
Ga (0.249, 0.750, 0.941)
Ga (0.251, 0.250, 0.441)
Ga (0.357, 0.750, 0.340)
Ga (0.643, 0.250, 0.660)
Ga (0.749, 0.750, 0.559)
Ga (0.751, 0.250, 0.059)
Ga (0.857, 0.750, 0.160)

Properties
The relative energy among the computed polymorphs is 0.300 eV per formula unit. The value obtained for the energy of formation from the pure elements is -0.5177 eV/atom. The symmetry is Pnma. Its density of states at the Fermi level is 0.94 states/eV/atom.

=====

Density functional theory data (PBE) for a geometry-optimized Nd6TlSn3 structure.

Unit cell a=7.749 b=8.721 c=12.400 alpha=90.00 beta=126.19 gamma=90.00
Sites, in units of the cell vectors:
Nd (0.025, 0.102, 0.251)
Nd (0.025, 0.398, 0.751)
Nd (0.215, 0.680, 0.062)
Nd (0.215, 0.820, 0.562)
Nd (0.403, 0.169, 0.063)
Nd (0.403, 0.331, 0.563)
Nd (0.597, 0.669, 0.437)
Nd (0.597, 0.831, 0.937)
Nd (0.785, 0.180, 0.438)
Nd (0.785, 0.320, 0.938)
Nd (0.975, 0.602, 0.249)
Nd (0.975, 0.898, 0.749)
Tl (0.500, 0.000, 0.500)
Tl (0.500, 0.500, 0.000)
Sn (0.000, 0.000, 0.000)
Sn (0.000, 0.500, 0.500)
Sn (0.306, 0.121, 0.751)
Sn (0.306, 0.379, 0.251)
Sn (0.694, 0.621, 0.749)
Sn (0.694, 0.879, 0.249)

Properties
The value obtained for the energy of formation from the pure elements is -0.4148 eV/atom. The symmetry is P2_1/c. Its density of states at the Fermi level is 1.02 states/eV/atom.

=====

Density functional theory data (PBE) for a geometry-optimized As3IrCl structure.

Unit cell a=4.673 b=4.673 c=4.673 alpha=90.00 beta=90.00 gamma=90.00
Sites, in units of the cell vectors:
As (0.000, 0.000, 0.500)
As (0.000, 0.500, 0.000)
As (0.500, 0.000, 0.000)
Ir (0.500, 0.500, 0.500)
Cl (0.000, 0.000, 0.000)

Properties
The relative energy among the computed polymorphs is 4.595 eV per formula unit. The symmetry is Pm-3m. Its density of states at the Fermi level is 0.48 states/eV/atom. The value obtained for the uncorrected formation energy is 1.49 eV per atom.

=====

Density functional theory data (PBE) for a geometry-optimized Mg3VNi structure.

Unit cell a=5.054 b=5.054 c=5.054 alpha=90.00 beta=90.00 gamma=90.00
Sites, in units of the cell vectors:
Mg (0.000, 0.000, 0.500)
Mg (0.000, 0.500, 0.000)
Mg (0.500, 0.000, 0.000)
V (0.000, 0.000, 0.000)
Ni (0.500, 0.500, 0.500)

Properties
The relative energy among the computed polymorphs is 3.997 eV per formula unit. The value obtained for the energy of formation from the pure elements is 1.3128 eV/atom. The symmetry is Pm-3m. Its density of states at the Fermi level is 1.07 states/eV/atom.

=====

Density functional theory data (PBE) for a geometry-optimized CaPdO structure.

Unit cell a=5.981 b=5.981 c=5.688 alpha=107.44 beta=107.44 gamma=30.81
Sites, in units of the cell vectors:
Ca (0.083, 0.083, 0.293)
Ca (0.917, 0.917, 0.707)
Pd (0.332, 0.332, 0.168)
Pd (0.668, 0.668, 0.832)
O (0.500, 0.500, 0.000)
O (0.500, 0.500, 0.500)

Properties
The symmetry is C2/m. Its density of states at the Fermi level is 0.71 states/eV/atom. The value obtained for the uncorrected formation energy is -1.42 eV per atom.

=====

Density functional theory data (PBE) for a geometry-optimized CsTcSb2 structure.

Unit cell a=8.604 b=8.604 c=8.604 alpha=131.32 beta=131.32 gamma=71.30
Sites, in units of the cell vectors:
Cs (0.375, 0.625, 0.750)
Cs (0.625, 0.375, 0.250)
Tc (0.125, 0.875, 0.250)
Tc (0.875, 0.125, 0.750)
Sb (0.000, 0.000, 0.000)
Sb (0.000, 0.000, 0.500)
Sb (0.000, 0.500, 0.000)
Sb (0.500, 0.000, 0.500)

Properties
The relative energy among the computed polymorphs is 0.344 eV per formula unit. The symmetry is I4_1/amd. Its density of states at the Fermi level is 0.01 states/eV/atom. The value obtained for the uncorrected formation energy is 0.04 eV per atom.

=====

Density functional theory data (PBE) for a geometry-optimized TbZnCuNi structure.

Unit cell a=4.215 b=4.215 c=5.109 alpha=114.51 beta=114.51 gamma=60.11
Sites, in units of the cell vectors:
Tb (0.000, 0.000, 0.000)
Zn (0.508, 0.508, 0.525)
Cu (0.794, 0.794, 0.382)
Ni (0.205, 0.205, 0.615)

Properties
The relative energy among the computed polymorphs is 0.000 eV per formula unit. The value obtained for the energy of formation from the pure elements is -0.3211 eV/atom. The symmetry is Cm. Its density of states at the Fermi level is 0.58 states/eV/atom.

=====

Density functional theory data (PBE) for a geometry-optimized IrO4 structure.

Unit cell a=4.343 b=5.554 c=6.038 alpha=116.07 beta=90.12 gamma=90.00
Sites, in units of the cell vectors:
Ir (0.000, 0.000, 0.000)
Ir (0.500, 0.500, 0.000)
O (0.244, 0.874, 0.737)
O (0.250, 0.826, 0.160)
O (0.251, 0.326, 0.160)
O (0.255, 0.374, 0.737)
O (0.745, 0.626, 0.263)
O (0.749, 0.674, 0.840)
O (0.750, 0.174, 0.840)
O (0.756, 0.126, 0.263)

Properties
The symmetry is P-1. Its density of states at the Fermi level is 0.40 states/eV/atom. The value obtained for the uncorrected formation energy is -0.15 eV per atom.

=====

Density functional theory data (PBE) for a geometry-optimized UReW2 structure.

Unit cell a=3.007 b=3.007 c=7.817 alpha=90.00 beta=90.00 gamma=90.00
Sites, in units of the cell vectors:
U (0.000, 0.000, 0.000)
Re (0.000, 0.000, 0.500)
W (0.500, 0.500, 0.288)
W (0.500, 0.500, 0.712)

Properties
The relative energy among the computed polymorphs is 0.000 eV per formula unit. The value obtained for the energy of formation from the pure elements is 0.2490 eV/atom. The symmetry is P4/mmm. Its density of states at the Fermi level is 1.16 states/eV/atom.

=====

Density functional theory data (PBE) for a geometry-optimized LiTi2H structure.

Unit cell a=8.150 b=8.150 c=8.150 alpha=20.05 beta=20.05 gamma=20.05
Sites, in units of the cell vectors:
Li (0.000, 0.000, 0.000)
Ti (0.115, 0.115, 0.115)
Ti (0.885, 0.885, 0.885)
H (0.500, 0.500, 0.500)

Properties
The relative energy among the computed polymorphs is 0.000 eV per formula unit. The symmetry is R-3m. Its density of states at the Fermi level is 0.98 states/eV/atom.